The following is a GGA-PBEsol calculation of a relaxed TaMoIr2Pt crystal, from Alexandria.

Calculated values
For the density of states at the Fermi level, the calculation gives 1.462 states/eV/atom. For the formation energy, the calculation gives 1.67 eV per atom. The crystal system is tetragonal.

Cell lengths 4.581, 4.581, 4.682 Å; angles 90.00, 90.00, 90.00 degrees
Last column: magnetic moment on the atom in μB.
Atoms (fractional coordinates):
Mo  0.000  0.000  0.000  0.00
Ir  0.000  0.500  0.000  0.00
Ir  0.500  0.000  0.000  0.00
Pt  0.000  0.000  0.500  0.01
Ta  0.500  0.500  0.500  0.22